1.
The following is a DFT calculation (PBE-GGA) of a geometry-optimized ThAgRhPb structure.

Results
calculated total energy = -5.6338 eV per atom
D(E_F) = 2.87 states/eV/cell
calculated volume = 89.6 Å³/f.u.
crystal system = cubic
total magnetic moment = 0.00 μB per cell

Cell lengths 5.0235, 5.0235, 5.0235 Å; angles 60.00, 60.00, 60.00 degrees
Element x y z (fractional)
Ag (0.2500, 0.2500, 0.2500)
Rh (0.7500, 0.7500, 0.7500)
Th (0.0000, 0.0000, 0.0000)
Pb (0.5000, 0.5000, 0.5000)

2.
The following is a DFT calculation (PBE-GGA) of a geometry-optimized BaAlCd2 structure.

Results
calculated total energy = -1.9485 eV per atom
D(E_F) = 2.16 states/eV/cell
calculated volume = 111.5 Å³/f.u.
crystal system = orthorhombic
total magnetic moment = 0.00 μB per cell

Cell lengths 5.4054, 5.4055, 5.4562 Å; angles 120.34, 120.34, 90.06 degrees
Element x y z (fractional)
Ba (0.7509, 0.2491, 0.5000)
Cd (0.2482, 0.7518, 0.5000)
Cd (0.9943, 0.0057, 0.0000)
Al (0.5066, 0.4934, 0.0000)

3.
The following is a DFT calculation (PBE-GGA) of a geometry-optimized Tb2Ho7Mg2 structure.

Results
calculated total energy = -3.8737 eV per atom
D(E_F) = 13.77 states/eV/cell
ΔE to the lowest computed polymorph = 82 meV/atom
calculated volume = 339.9 Å³/f.u.
crystal system = monoclinic
total magnetic moment = 0.00 μB per cell

Cell lengths 5.6352, 8.0627, 8.0627 Å; angles 87.19, 74.45, 74.45 degrees
Element x y z (fractional)
Mg (0.2152, 0.5635, 0.5635)
Mg (0.7848, 0.4365, 0.4365)
Ho (0.0000, 0.0000, 0.0000)
Ho (0.3358, 0.2227, 0.2227)
Ho (0.1841, 0.6020, 0.0178)
Ho (0.1841, 0.0178, 0.6020)
Ho (0.8159, 0.3980, 0.9822)
Ho (0.8159, 0.9822, 0.3980)
Ho (0.6642, 0.7773, 0.7773)
Tb (0.5000, 0.7787, 0.2213)
Tb (0.5000, 0.2213, 0.7787)

- total magnetic moment of number 1 (ThAgRhPb)?
  0.00 μB per cell

- What is the formula in the first record?
  ThAgRhPb